1.
A relaxed structure of Ni2PtBrN, computed with PBE.

Values from the calculation:
ΔE_f (raw) in kJ per mole of atoms: 165.2
Space-group type: P4/mmm, No. 123
Density of states at the Fermi level in states/eV/atom: 1.372
E in eV/atom: -3.81

Unit cell a=4.420 b=3.777 c=4.420 alpha=90.00 beta=90.00 gamma=90.00
Atoms (fractional coordinates):
Ni1 0.500 0.000 0.000
Br1 0.000 0.000 0.000
Ni2 0.000 0.000 0.500
Pt1 0.500 0.500 0.500
N1 0.000 0.500 0.000

***

2.
A relaxed structure of Rb2NiBr6N, computed with PBE.

Values from the calculation:
ΔE_f (raw) in kJ per mole of atoms: -31.2
Space-group type: I4/mmm, No. 139
Density of states at the Fermi level in states/eV/atom: 1.033
E in eV/atom: -2.93

Unit cell a=7.781 b=7.781 c=7.236 alpha=57.47 beta=57.47 gamma=90.00
Atoms (fractional coordinates):
Br1 0.276 0.276 0.448
Br2 0.780 0.220 0.000
Br3 0.724 0.724 0.552
Rb1 0.250 0.750 0.500
Br4 0.780 0.780 0.000
Ni1 0.000 0.000 0.000
Br5 0.220 0.780 0.000
N1 0.500 0.500 0.000
Br6 0.220 0.220 0.000
Rb2 0.750 0.250 0.500

***

3.
A relaxed structure of NiS2BrN, computed with PBE.

Values from the calculation:
ΔE_f (raw) in kJ per mole of atoms: 180.5
Space-group type: P4/mmm, No. 123
Energy above the lowest structure with this stoichiometry in eV/atom: 0.938
Density of states at the Fermi level in states/eV/atom: 0.927
E in eV/atom: -2.94

Unit cell a=4.956 b=4.956 c=3.652 alpha=90.00 beta=90.00 gamma=90.00
Each line ends with the local moment (μB).
Atoms (fractional coordinates):
S1 0.000 0.500 0.000  0.23
N1 0.000 0.000 0.500  0.21
S2 0.500 0.000 0.000  0.23
Ni1 0.500 0.500 0.500  1.19
Br1 0.000 0.000 0.000  -0.03

***

4.
A relaxed structure of NiS2BrN, computed with PBE.

Values from the calculation:
ΔE_f (raw) in kJ per mole of atoms: 90.0
Space-group type: P4/mmm, No. 123
Energy above the lowest structure with this stoichiometry in eV/atom: 0.000
Density of states at the Fermi level in states/eV/atom: 0.799
E in eV/atom: -3.87

Unit cell a=4.820 b=4.820 c=3.455 alpha=90.00 beta=90.00 gamma=90.00
Each line ends with the local moment (μB).
Atoms (fractional coordinates):
Ni1 0.000 0.000 0.000  0.03
N1 0.000 0.000 0.500  0.20
S1 0.500 0.000 0.000  0.02
Br1 0.500 0.500 0.500  0.01
S2 0.000 0.500 0.000  0.02

***

5.
A relaxed structure of NiSe2BrN, computed with PBE.

Values from the calculation:
ΔE_f (raw) in kJ per mole of atoms: 69.0
Space-group type: P4/mmm, No. 123
Energy above the lowest structure with this stoichiometry in eV/atom: 0.000
Density of states at the Fermi level in states/eV/atom: 0.553
E in eV/atom: -3.83

Unit cell a=5.176 b=5.176 c=3.399 alpha=90.00 beta=90.00 gamma=90.00
Atoms (fractional coordinates):
Se1 0.000 0.500 0.000
Se2 0.500 0.000 0.000
Br1 0.500 0.500 0.500
N1 0.000 0.000 0.500
Ni1 0.000 0.000 0.000

***

6.
A relaxed structure of NiSeBr2N, computed with PBE.

Values from the calculation:
ΔE_f (raw) in kJ per mole of atoms: 141.6
Space-group type: P4/mmm, No. 123
Energy above the lowest structure with this stoichiometry in eV/atom: 0.168
Density of states at the Fermi level in states/eV/atom: 1.641
E in eV/atom: -2.72

Unit cell a=4.803 b=4.803 c=4.627 alpha=90.00 beta=90.00 gamma=90.00
Atoms (fractional coordinates):
Br1 0.500 0.000 0.000
Ni1 0.000 0.000 0.000
Se1 0.000 0.000 0.500
N1 0.500 0.500 0.500
Br2 0.000 0.500 0.000

***

7.
A relaxed structure of NiSe2BrN, computed with PBE.

Values from the calculation:
ΔE_f (raw) in kJ per mole of atoms: 119.0
Space-group type: P4/mmm, No. 123
Energy above the lowest structure with this stoichiometry in eV/atom: 0.518
Density of states at the Fermi level in states/eV/atom: 1.278
E in eV/atom: -3.32

Unit cell a=4.268 b=4.268 c=4.794 alpha=90.00 beta=90.00 gamma=90.00
Each line ends with the local moment (μB).
Atoms (fractional coordinates):
Ni1 0.500 0.500 0.500  0.99
Se1 0.500 0.000 0.000  0.16
Br1 0.000 0.000 0.500  0.14
N1 0.000 0.000 0.000  0.00
Se2 0.000 0.500 0.000  0.16

***

8.
A relaxed structure of NiSeBr2N, computed with PBE.

Values from the calculation:
ΔE_f (raw) in kJ per mole of atoms: 125.4
Space-group type: P4/mmm, No. 123
Energy above the lowest structure with this stoichiometry in eV/atom: 0.000
Density of states at the Fermi level in states/eV/atom: 1.387
E in eV/atom: -2.89

Unit cell a=4.506 b=4.506 c=4.643 alpha=90.00 beta=90.00 gamma=90.00
Each line ends with the local moment (μB).
Atoms (fractional coordinates):
Ni1 0.500 0.500 0.500  1.09
N1 0.000 0.000 0.000  -0.01
Br1 0.500 0.000 0.000  0.07
Se1 0.000 0.000 0.500  0.30
Br2 0.000 0.500 0.000  0.07

***

9.
A relaxed structure of NiSe2BrN, computed with PBE.

Values from the calculation:
ΔE_f (raw) in kJ per mole of atoms: 146.3
Space-group type: P4/mmm, No. 123
Energy above the lowest structure with this stoichiometry in eV/atom: 0.801
Density of states at the Fermi level in states/eV/atom: 1.448
E in eV/atom: -3.03

Unit cell a=4.628 b=4.628 c=4.752 alpha=90.00 beta=90.00 gamma=90.00
Atoms (fractional coordinates):
Se1 0.500 0.000 0.000
N1 0.500 0.500 0.500
Br1 0.000 0.000 0.500
Ni1 0.000 0.000 0.000
Se2 0.000 0.500 0.000

***

10.
A relaxed structure of NiSe2BrN, computed with PBE.

Values from the calculation:
ΔE_f (raw) in kJ per mole of atoms: 169.2
Space-group type: P4/mmm, No. 123
Energy above the lowest structure with this stoichiometry in eV/atom: 1.039
Density of states at the Fermi level in states/eV/atom: 1.308
E in eV/atom: -2.80

Unit cell a=5.263 b=5.263 c=3.626 alpha=90.00 beta=90.00 gamma=90.00
Each line ends with the local moment (μB).
Atoms (fractional coordinates):
Se1 0.500 0.000 0.000  0.12
Br1 0.000 0.000 0.000  -0.01
Ni1 0.500 0.500 0.500  1.02
N1 0.000 0.000 0.500  0.00
Se2 0.000 0.500 0.000  0.12

***

11.
A relaxed structure of NiTeBrN2, computed with PBE.

Values from the calculation:
ΔE_f (raw) in kJ per mole of atoms: 204.3
Space-group type: P4/mmm, No. 123
Energy above the lowest structure with this stoichiometry in eV/atom: 0.662
Density of states at the Fermi level in states/eV/atom: 0.700
E in eV/atom: -3.33

Unit cell a=3.774 b=3.774 c=7.962 alpha=90.00 beta=90.00 gamma=90.00
Each line ends with the local moment (μB).
Atoms (fractional coordinates):
Te1 0.000 0.000 0.500  0.17
N1 0.500 0.000 0.000  0.29
Ni1 0.500 0.500 0.500  0.59
N2 0.000 0.500 0.000  0.29
Br1 0.000 0.000 0.000  0.00

***

12.
A relaxed structure of NiTeBrN2, computed with PBE.

Values from the calculation:
ΔE_f (raw) in kJ per mole of atoms: 140.4
Space-group type: P4/mmm, No. 123
Energy above the lowest structure with this stoichiometry in eV/atom: 0.000
Density of states at the Fermi level in states/eV/atom: 1.351
E in eV/atom: -3.99

Unit cell a=3.909 b=3.909 c=5.497 alpha=90.00 beta=90.00 gamma=90.00
Each line ends with the local moment (μB).
Atoms (fractional coordinates):
Ni1 0.000 0.000 0.000  0.09
N1 0.500 0.000 0.000  0.04
N2 0.000 0.500 0.000  0.04
Br1 0.500 0.500 0.500  -0.01
Te1 0.000 0.000 0.500  0.01